P:
GaFe3Au | Alexandria via LeMat-Bulk | PBE-GGA | optimized geometry; SG = No. 221; magnetization = 1.597 μB per atom
1.0
4.424 0.000 0.000
0.000 4.424 0.000
0.000 0.000 4.424
Ga Fe Au
1 3 1
Direct
0.000 0.000 0.000 Ga
0.000 0.000 0.500 Fe
0.000 0.500 0.000 Fe
0.500 0.000 0.000 Fe
0.500 0.500 0.500 Au

Q:
GaFe3Au | Alexandria via LeMat-Bulk | PBE-GGA | optimized geometry; SG = No. 221; magnetization = 1.913 μB per atom
1.0
4.783 0.000 0.000
0.000 4.783 0.000
0.000 0.000 4.783
Ga Fe Au
1 3 1
Direct
0.000 0.000 0.000 Ga
0.000 0.500 0.500 Fe
0.500 0.000 0.500 Fe
0.500 0.500 0.000 Fe
0.500 0.500 0.500 Au

Most stable to least stable, the ends of the list are P and Q.